# 1
TiInSiTe2 | PBE-GGA | optimized geometry

```
TiInSiTe2
1.0
5.406 0.000 0.000
0.000 4.945 0.000
0.000 0.000 5.406
Te In Ti Si
2 1 1 1
Direct
0.500 0.000 0.000 Te
0.000 0.000 0.500 Te
0.000 0.500 0.000 In
0.500 0.500 0.500 Ti
0.000 0.000 0.000 Si
```

Summary:
E_tot ... -3.81 eV/atom
Volume ... 145 Å³ per cell


# 2
Tm6InSi2Te3 | PBE-GGA | optimized geometry

```
Tm6InSi2Te3
1.0
4.172 0.000 0.000
0.000 8.655 0.190
-2.086 -2.617 8.960
Tm Si In Te
6 2 1 3
Direct
0.331 0.891 0.663 Tm
0.990 0.744 0.980 Tm
0.669 0.109 0.337 Tm
0.010 0.256 0.020 Tm
0.676 0.563 0.351 Tm
0.324 0.437 0.649 Tm
0.167 0.333 0.334 Si
0.833 0.667 0.666 Si
0.500 0.000 0.000 In
0.164 0.831 0.328 Te
0.500 0.500 0.000 Te
0.836 0.169 0.672 Te
```

Summary:
E_tot ... -5.08 eV/atom
Volume ... 326 Å³ per cell


Number 1: density of states at the Fermi level 6.94 states/eV/cell. Number 2: density of states at the Fermi level 5.28 states/eV/cell.